(1)
CaAlB: relaxed, GGA-PBE.

The structure in extended XYZ format:
```
18
Lattice="4.5635 0.0000 0.0000 -2.2818 3.9521 0.0000 0.0000 0.0000 19.6467" Properties=species:S:1:pos:R:3 pbc="T T T"
Ca 0.0000 0.0000 17.6538
Ca 2.2818 1.3174 4.5560
Ca 0.0000 0.0000 1.9929
Ca 0.0000 2.6347 15.0907
Ca 2.2818 1.3174 8.5418
Ca 0.0000 2.6347 11.1049
Al 0.0000 0.0000 6.8862
Al 2.2818 1.3174 13.4351
Al 0.0000 2.6347 6.2116
Al 0.0000 2.6347 0.3374
Al 2.2818 1.3174 19.3093
Al 0.0000 0.0000 12.7604
B 0.0000 0.0000 9.0654
B 0.0000 2.6347 2.5165
B 0.0000 0.0000 10.5813
B 2.2818 1.3174 17.1302
B 0.0000 2.6347 4.0324
B 2.2818 1.3174 15.6143
```

- total energy (eV for the cell shown) = -76.70
- space-group type = No. 166
- formation energy (kcal/mol of atoms) = -2.8

(2)
CaAlB: relaxed, GGA-PBE.

The structure in extended XYZ format:
```
6
Lattice="6.8072 0.0000 0.0000 0.0000 4.4668 0.0000 0.0000 0.0000 3.6500" Properties=species:S:1:pos:R:3 pbc="T T T"
B 6.5566 2.1361 2.7611
B 1.4013 2.1361 2.7611
Ca 3.9792 4.3695 2.7611
Ca 0.5755 4.3695 0.9359
Al 2.6514 2.1361 0.9362
Al 5.3066 2.1361 0.9361
```

- total energy (eV for the cell shown) = -25.45
- space-group type = No. 47
- formation energy (kcal/mol of atoms) = -2.3

(3)
Ca2AlBCl: relaxed, GGA-PBE.

The structure in extended XYZ format:
```
5
Lattice="5.3349 0.0000 0.0000 0.0000 4.2142 0.0000 0.0000 0.0000 5.3349" Properties=species:S:1:pos:R:3 pbc="T T T"
Al 2.6674 2.1071 2.6674
Ca 2.6674 0.0000 0.0000
Ca 0.0000 0.0000 2.6674
Cl 0.0000 0.0000 0.0000
B 0.0000 2.1071 0.0000
```

- total energy (eV for the cell shown) = -14.84
- space-group type = No. 123

(4)
Ca2AlCo5B2: relaxed, GGA-PBE.

The structure in extended XYZ format:
```
20
Lattice="2.8497 0.0000 0.0000 0.0000 9.2450 0.0000 0.0000 0.0000 9.2450" Properties=species:S:1:pos:R:3 pbc="T T T"
Al 0.0000 0.0000 0.0000
Al 0.0000 4.6225 4.6225
Co 1.4249 4.0033 2.5188
Co 1.4249 0.0000 4.6225
Co 1.4249 4.6225 0.0000
Co 1.4249 7.1412 8.6257
Co 1.4249 0.6192 7.1412
Co 1.4249 5.2417 6.7262
Co 1.4249 6.7262 4.0033
Co 1.4249 8.6257 2.1037
Co 1.4249 2.5188 5.2417
Co 1.4249 2.1037 0.6192
Ca 0.0000 7.5910 6.2764
Ca 0.0000 6.2764 1.6539
Ca 0.0000 1.6539 2.9686
Ca 0.0000 2.9686 7.5910
B 0.0000 3.5209 1.1015
B 0.0000 1.1015 5.7240
B 0.0000 8.1434 3.5209
B 0.0000 5.7240 8.1434
```

- total energy (eV for the cell shown) = -116.32
- space-group type = No. 127
- formation energy (kcal/mol of atoms) = -3.5